(1)
The following is a PBE-GGA calculation of a relaxed structure of CaNdCuPt, from Alexandria.

Cell lengths 4.334, 4.041, 10.939 Å; angles 90.00, 90.00, 90.00 degrees
Space group Amm2 (No. 38)
Asymmetric unit:
Ca1 0.000 0.000 0.000 (multiplicity 2)
Nd1 0.500 0.000 0.721 (multiplicity 2)
Cu1 0.500 0.000 0.428 (multiplicity 2)
Pt1 0.000 0.000 0.283 (multiplicity 2)

## Properties
- Fermi-level density of states (states/eV per atom) = 0.71
- total magnetic moment (μB/f.u.) = 0.00
- energy above the lowest structure with this stoichiometry (kJ/mol of atoms) = 0.0
- energy of formation from the pure elements (eV per atom) = -0.647

=====

(2)
The following is a PBE-GGA calculation of a relaxed structure of SrTc2PtBr, from Alexandria.

Cell lengths 4.862, 4.862, 6.224 Å; angles 90.00, 90.00, 90.00 degrees
Space group P4/mmm (No. 123)
Asymmetric unit:
Sr1 0.000 0.000 0.000 (multiplicity 1)
Tc1 0.000 0.500 0.500 (multiplicity 2)
Pt1 0.000 0.000 0.500 (multiplicity 1)
Br1 0.500 0.500 0.000 (multiplicity 1)

## Properties
- E_form (uncorrected) (meV/atom) = 764
- Fermi-level density of states (states/eV per atom) = 1.22
- total magnetic moment (μB/f.u.) = 5.32

=====

(3)
The following is a PBE-GGA calculation of a relaxed structure of LiMoOs2, from Alexandria.

Cell lengths 2.7262, 2.7262, 27.9946 Å; angles 90.00, 90.00, 120.00 degrees
Space group R3m (No. 160, hexagonal axes)
Asymmetric unit:
Li1 0.0000 0.0000 0.0000 (multiplicity 3)
Mo1 0.0000 0.0000 0.2424 (multiplicity 3)
Os1 0.0000 0.0000 0.4945 (multiplicity 3)
Os2 0.0000 0.0000 0.7495 (multiplicity 3)

## Properties
- Fermi-level density of states (states/eV per atom) = 0.85
- total magnetic moment (μB/f.u.) = 0.00
- energy above the lowest structure with this stoichiometry (kJ/mol of atoms) = 15.1
- energy of formation from the pure elements (eV per atom) = 0.284

=====

(4)
The following is a PBE-GGA calculation of a relaxed structure of Dy4Cu2H, from Alexandria.

Cell lengths 4.701, 4.701, 13.867 Å; angles 90.00, 90.00, 90.00 degrees
Space group I4/mmm (No. 139)
Asymmetric unit:
Dy1 0.000 0.000 0.191 (multiplicity 4)
Dy2 0.000 0.500 0.000 (multiplicity 4)
Cu1 0.000 0.000 0.384 (multiplicity 4)
H1 0.000 0.000 0.000 (multiplicity 2)

## Properties
- DFT total energy (Ry per atom) = -0.325
- Fermi-level density of states (states/eV per atom) = 1.14
- total magnetic moment (μB/f.u.) = 0.00

=====

(5)
The following is a PBE-GGA calculation of a relaxed structure of MgMo2Cl, from Alexandria.

Cell lengths 3.273, 3.147, 7.514 Å; angles 90.00, 91.96, 90.00 degrees
Space group Pm (No. 6)
Asymmetric unit:
Mg1 0.000 0.000 0.000 (multiplicity 1)
Mo1 0.006 0.000 0.577 (multiplicity 1)
Mo2 0.475 0.500 0.747 (multiplicity 1)
Cl1 0.999 0.500 0.295 (multiplicity 1)

## Properties
- E_form (uncorrected) (meV/atom) = -36
- Fermi-level density of states (states/eV per atom) = 0.66
- total magnetic moment (μB/f.u.) = 0.00
- energy above the lowest structure with this stoichiometry (kJ/mol of atoms) = 0.0

=====

(6)
The following is a PBE-GGA calculation of a relaxed structure of AcNdOsAu, from Alexandria.

Cell lengths 7.399, 7.399, 7.399 Å; angles 90.00, 90.00, 90.00 degrees
Space group F-43m (No. 216)
Asymmetric unit:
Ac1 0.000 0.000 0.000 (multiplicity 4)
Nd1 0.000 0.000 0.500 (multiplicity 4)
Os1 0.250 0.250 0.250 (multiplicity 4)
Au1 0.250 0.250 0.750 (multiplicity 4)

## Properties
- Fermi-level density of states (states/eV per atom) = 0.74
- total magnetic moment (μB/f.u.) = 0.00
- energy of formation from the pure elements (eV per atom) = -0.230

=====

(7)
The following is a PBE-GGA calculation of a relaxed structure of TmHgRh, from Alexandria.

Cell lengths 3.571, 3.571, 9.475 Å; angles 90.00, 90.00, 90.00 degrees
Space group I4mm (No. 107)
Asymmetric unit:
Tm1 0.000 0.000 0.000 (multiplicity 2)
Hg1 0.000 0.000 0.685 (multiplicity 2)
Rh1 0.000 0.000 0.357 (multiplicity 2)

## Properties
- Fermi-level density of states (states/eV per atom) = 0.77
- total magnetic moment (μB/f.u.) = 0.00
- energy of formation from the pure elements (eV per atom) = -0.562

=====

(8)
The following is a PBE-GGA calculation of a relaxed structure of Mn2NiOs, from Alexandria.

Cell lengths 2.903, 4.382, 8.195 Å; angles 90.00, 90.00, 90.00 degrees
Space group Cmmm (No. 65)
Asymmetric unit:
Mn1 0.000 0.000 0.241 (multiplicity 4)
Ni1 0.000 0.500 0.000 (multiplicity 2)
Os1 0.000 0.500 0.500 (multiplicity 2)

## Properties
- Fermi-level density of states (states/eV per atom) = 1.01
- total magnetic moment (μB/f.u.) = 6.49
- energy of formation from the pure elements (eV per atom) = 0.227

=====

(9)
The following is a PBE-GGA calculation of a relaxed structure of In2SnPb6, from Alexandria.

Cell lengths 12.225, 14.256, 6.369 Å; angles 90.00, 96.75, 90.00 degrees
Space group C2/c (No. 15)
Asymmetric unit:
In1 0.120 0.015 0.388 (multiplicity 8)
Sn1 0.000 0.411 0.250 (multiplicity 4)
Pb1 0.032 0.205 0.008 (multiplicity 8)
Pb2 0.145 0.398 0.761 (multiplicity 8)
Pb3 0.249 0.171 0.710 (multiplicity 8)

## Properties
- Fermi-level density of states (states/eV per atom) = 0.49
- total magnetic moment (μB/f.u.) = 0.00
- energy above the lowest structure with this stoichiometry (kJ/mol of atoms) = 1.0
- energy of formation from the pure elements (eV per atom) = 0.053

=====

(10)
The following is a PBE-GGA calculation of a relaxed structure of Li3As2Pt2, from Alexandria.

Cell lengths 17.420, 3.691, 3.637 Å; angles 90.00, 101.91, 90.00 degrees
Space group C2/m (No. 12)
Asymmetric unit:
Li1 0.000 0.000 0.000 (multiplicity 2)
Li2 0.249 0.500 0.749 (multiplicity 4)
As1 0.122 0.500 0.123 (multiplicity 4)
Pt1 0.133 0.000 0.635 (multiplicity 4)

## Properties
- Fermi-level density of states (states/eV per atom) = 0.42
- total magnetic moment (μB/f.u.) = 0.00
- energy of formation from the pure elements (eV per atom) = -0.484

=====

(11)
The following is a PBE-GGA calculation of a relaxed structure of Pa6NCl15, from Alexandria.

Cell lengths 10.664, 10.664, 10.664 Å; angles 90.00, 90.00, 90.00 degrees
Space group Im-3m (No. 229)
Asymmetric unit:
Pa1 0.000 0.000 0.230 (multiplicity 12)
N1 0.000 0.000 0.000 (multiplicity 2)
Cl1 0.000 0.000 0.500 (multiplicity 6)
Cl2 0.000 0.252 0.252 (multiplicity 24)

## Properties
- E_form (uncorrected) (meV/atom) = -1705
- Fermi-level density of states (states/eV per atom) = 1.16
- total magnetic moment (μB/f.u.) = 4.11

=====

(12)
The following is a PBE-GGA calculation of a relaxed structure of Gd2GeSb, from Alexandria.

Cell lengths 4.2428, 4.2428, 21.8427 Å; angles 90.00, 90.00, 120.00 degrees
Space group R-3m (No. 166, hexagonal axes)
Asymmetric unit:
Gd1 0.0000 0.0000 0.2455 (multiplicity 6)
Ge1 0.0000 0.0000 0.5000 (multiplicity 3)
Sb1 0.0000 0.0000 0.0000 (multiplicity 3)

## Properties
- E_form (uncorrected) (meV/atom) = -885
- Fermi-level density of states (states/eV per atom) = 0.76
- total magnetic moment (μB/f.u.) = 13.98

=====

- Among the records above, which one has the highest Fermi-level density of states?
  SrTc2PtBr

=====

- Fermi-level density of states of number 8 (Mn2NiOs)?
  1.01 states/eV per atom